This record from Alexandria via LeMat-Bulk describes an optimized crystal structure of BaAg4Ge. The functional is PBE. Values from VASP.

Values from the calculation:
energy of formation from the pure elements: -0.079 eV per atom

The structure in Quantum ESPRESSO input format:
```
&SYSTEM
  ibrav = 0, nat = 6, ntyp = 3
/
ATOMIC_SPECIES
Ge 72.64 Ge.upf
Ag 107.87 Ag.upf
Ba 137.33 Ba.upf
ATOMIC_POSITIONS angstrom
Ge 0.000 0.000 0.000
Ag 4.323 4.171 2.950
Ag 7.225 4.171 2.950
Ag 5.774 3.334 0.580
Ag 5.774 1.659 2.950
Ba 2.887 1.667 1.179
CELL_PARAMETERS angstrom
5.774 0.000 0.000
2.887 5.001 0.000
2.887 1.667 4.715
```

=====

This record from Alexandria via LeMat-Bulk describes an optimized crystal structure of TbPmDyIn. The functional is PBE. Values from VASP.

Values from the calculation:
energy of formation from the pure elements: -0.105 eV per atom

The structure in Quantum ESPRESSO input format:
```
&SYSTEM
  ibrav = 0, nat = 4, ntyp = 4
/
ATOMIC_SPECIES
In 114.82 In.upf
Tb 158.93 Tb.upf
Pm 145.00 Pm.upf
Dy 162.50 Dy.upf
ATOMIC_POSITIONS angstrom
In 2.746 1.585 1.121
Tb 5.491 3.170 2.242
Pm 8.237 4.756 3.363
Dy 0.000 0.000 0.000
CELL_PARAMETERS angstrom
5.491 0.000 0.000
2.746 4.756 0.000
2.746 1.585 4.484
```

=====

This record from Alexandria via LeMat-Bulk describes an optimized crystal structure of MnRe2. The functional is PBE. Values from VASP.

Values from the calculation:
energy of formation from the pure elements: 0.089 eV per atom

The structure in Quantum ESPRESSO input format:
```
&SYSTEM
  ibrav = 0, nat = 12, ntyp = 2
/
ATOMIC_SPECIES
Re 186.21 Re.upf
Mn 54.94 Mn.upf
ATOMIC_POSITIONS angstrom
Re 0.957 1.979 0.634
Re 0.957 2.048 3.336
Re 2.872 3.377 4.659
Re 2.872 6.076 4.768
Re 2.872 6.006 2.067
Re 2.872 0.650 1.958
Re 0.957 4.678 0.744
Re 0.957 7.404 3.445
Mn 2.872 0.676 4.724
Mn 0.957 7.379 0.679
Mn 2.872 3.352 2.023
Mn 0.957 4.703 3.380
CELL_PARAMETERS angstrom
3.829 0.000 0.000
0.000 8.054 0.000
0.000 0.000 5.403
```